[1]
# GGA-PBE ReSnOF2, optimized geometry
# **Raw formation energy**: -0.86 eV/atom
data_ReSnOF2
_symmetry_space_group_name_H-M 'P 1'
_symmetry_Int_Tables_number 1
_cell_length_a 4.450
_cell_length_b 4.450
_cell_length_c 3.803
_cell_angle_alpha 90.00
_cell_angle_beta 90.00
_cell_angle_gamma 90.00
loop_
_symmetry_equiv_pos_as_xyz
'x,y,z'
loop_
_atom_site_label
_atom_site_fract_x
_atom_site_fract_y
_atom_site_fract_z
F1 0.000 0.500 0.000
F2 0.500 0.000 0.000
Sn1 0.500 0.500 0.500
O1 0.000 0.000 0.500
Re1 0.000 0.000 0.000



[2]
# GGA-PBE ZrTc2Os2, optimized geometry
# **DFT formation energy**: -0.03 eV per atom
data_ZrTc2Os2
_symmetry_space_group_name_H-M 'P 1'
_symmetry_Int_Tables_number 1
_cell_length_a 7.640
_cell_length_b 7.640
_cell_length_c 2.773
_cell_angle_alpha 90.00
_cell_angle_beta 90.00
_cell_angle_gamma 90.00
loop_
_symmetry_equiv_pos_as_xyz
'x,y,z'
loop_
_atom_site_label
_atom_site_fract_x
_atom_site_fract_y
_atom_site_fract_z
Os1 0.172 0.672 0.500
Os2 0.828 0.328 0.500
Os3 0.672 0.828 0.500
Os4 0.328 0.172 0.500
Tc1 0.879 0.621 0.000
Tc2 0.121 0.379 0.000
Tc3 0.621 0.121 0.000
Tc4 0.379 0.879 0.000
Zr1 0.000 0.000 0.000
Zr2 0.500 0.500 0.000



[3]
# GGA-PBE La6Ir3Cl2, optimized geometry
# **Raw formation energy**: -1.12 eV/atom
data_La6Ir3Cl2
_symmetry_space_group_name_H-M 'P 1'
_symmetry_Int_Tables_number 1
_cell_length_a 7.318
_cell_length_b 7.327
_cell_length_c 7.733
_cell_angle_alpha 80.95
_cell_angle_beta 71.65
_cell_angle_gamma 60.04
loop_
_symmetry_equiv_pos_as_xyz
'x,y,z'
loop_
_atom_site_label
_atom_site_fract_x
_atom_site_fract_y
_atom_site_fract_z
Cl1 0.167 0.667 0.500
Cl2 0.833 0.333 0.500
La1 0.929 0.667 0.209
La2 0.403 0.667 0.791
La3 0.071 0.333 0.791
La4 0.735 0.000 0.792
La5 0.265 0.000 0.208
La6 0.597 0.333 0.209
Ir1 0.331 0.338 0.000
Ir2 0.000 0.000 0.000
Ir3 0.669 0.662 0.000



Copy entry 1 word for word.
# GGA-PBE ReSnOF2, optimized geometry
# **Raw formation energy**: -0.86 eV/atom
data_ReSnOF2
_symmetry_space_group_name_H-M 'P 1'
_symmetry_Int_Tables_number 1
_cell_length_a 4.450
_cell_length_b 4.450
_cell_length_c 3.803
_cell_angle_alpha 90.00
_cell_angle_beta 90.00
_cell_angle_gamma 90.00
loop_
_symmetry_equiv_pos_as_xyz
'x,y,z'
loop_
_atom_site_label
_atom_site_fract_x
_atom_site_fract_y
_atom_site_fract_z
F1 0.000 0.500 0.000
F2 0.500 0.000 0.000
Sn1 0.500 0.500 0.500
O1 0.000 0.000 0.500
Re1 0.000 0.000 0.000